An optimized crystal structure of BaY2Mg. Source: the Alexandria database, functional PBE.

a = 5.371 Å, b = 5.115 Å, c = 5.115 Å
α = 90.00°, β = 90.00°, γ = 90.00°
Atoms (fractional coordinates):
1 Ba 0.500 0.500 0.000
2 Y 0.000 0.000 0.000
3 Y 0.000 0.500 0.500
4 Mg 0.500 0.000 0.500

Calculated values
Space group: No. 123
Total DFT energy (no corrections), eV per atom: -3.902
Total magnetization, μB/cell: 0.00
ΔH_f (0 K), meV per atom: 209

An optimized crystal structure of BaY2Mg. Source: the Alexandria database, functional PBE.

a = 6.708 Å, b = 6.708 Å, c = 6.006 Å
α = 70.35°, β = 70.35°, γ = 33.37°
Atoms (fractional coordinates):
1 Y 0.733 0.733 0.798
2 Y 0.980 0.980 0.979
3 Ba 0.521 0.521 0.452
4 Mg 0.267 0.267 0.271

Calculated values
Space group: No. 8
Total DFT energy (no corrections), eV per atom: -3.950
Total magnetization, μB/cell: 0.00
ΔH_f (0 K), meV per atom: 162